(1)
Here is a relaxed structure of TcMoPb3 from Alexandria. Energies are from PBE.

```
TcMoPb3
1.0
5.375 0.000 0.000
0.000 5.375 0.000
0.000 0.000 5.375
Tc Mo Pb
1 1 3
Cartesian
0.000 0.000 0.000 Tc
2.687 2.687 2.687 Mo
0.000 2.687 2.687 Pb
2.687 0.000 2.687 Pb
2.687 2.687 0.000 Pb
```

## Properties
Its volume is 155 Å³/cell. The calculation puts the energy of formation at 1.34 eV/atom. Its excess energy over the best structure of this formula in the dataset is 138 meV/atom. The space group is Pm-3m, No. 221.

***

(2)
Here is a relaxed structure of TcMoPb from Alexandria. Energies are from PBE.

```
TcMoPb
1.0
0.000 3.133 3.133
3.133 0.000 3.133
3.133 3.133 0.000
Tc Mo Pb
1 1 1
Cartesian
0.000 0.000 0.000 Tc
4.700 4.700 4.700 Mo
1.567 1.567 1.567 Pb
```

## Properties
Its volume is 62 Å³/cell. The calculation puts the energy of formation at 0.67 eV/atom. Its excess energy over the best structure of this formula in the dataset is 235 meV/atom. The space group is F-43m, No. 216.

***

(3)
Here is a relaxed structure of TcMoPb from Alexandria. Energies are from PBE.

```
TcMoPb
1.0
4.561 0.000 0.000
-2.281 3.950 0.000
0.000 0.000 3.004
Tc Mo Pb
1 1 1
Cartesian
0.000 0.000 0.000 Tc
2.281 1.317 0.977 Mo
0.000 2.634 2.268 Pb
```

## Properties
Its volume is 54 Å³/cell. The calculation puts the energy of formation at 0.73 eV/atom. Its excess energy over the best structure of this formula in the dataset is 296 meV/atom. The space group is P3m1, No. 156.